An optimized crystal structure of CeSiS3. Source: the Alexandria database, functional PBE.

a b c (Å): 6.957 6.957 6.957
angles (deg): 119.96 105.13 103.87
Fractional coordinates of all 10 atoms:
Ce 0.225 0.250 0.475
Ce 0.775 0.750 0.525
Si 0.665 0.017 0.149
Si 0.868 0.517 0.851
S 0.029 0.257 0.776
S 0.029 0.752 0.271
S 0.481 0.252 0.224
S 0.481 0.757 0.729
S 0.497 0.776 0.221
S 0.555 0.276 0.779

Crystal system: orthorhombic
V in Å³/f.u.: 126
Energy above the most stable polymorph in this dataset in meV/atom: 216
E_form (uncorrected) in eV/atom: -0.90